The following is a PBE calculation of a geometry-optimized UAl2 structure, from Alexandria.

Results
As for the volume: 57.40 Å³/f.u. The final energy is -6.460 eV/atom. The space group is P6_3/mmc, No. 194. The energy relative to the elements is -0.202 eV per atom.

abc: 5.591 5.591 8.482
angles: 90.00 90.00 120.00
Fractional positions:
Al1 0.826 0.651 0.250
Al2 0.000 0.000 0.000
U1 0.667 0.333 0.595
Al3 0.349 0.174 0.250
Al4 0.826 0.174 0.250
U2 0.333 0.667 0.095
Al5 0.000 0.000 0.500
U3 0.667 0.333 0.905
Al6 0.174 0.349 0.750
Al7 0.651 0.826 0.750
Al8 0.174 0.826 0.750
U4 0.333 0.667 0.405



The following is a PBE calculation of a geometry-optimized UAl4 structure, from Alexandria.

Results
As for the volume: 93.55 Å³/f.u. The final energy is -5.354 eV/atom. The space group is Imma, No. 74. The energy relative to the elements is -0.102 eV per atom.

abc: 7.873 7.873 7.873
angles: 147.75 133.62 57.62
Fractional positions:
Al1 0.500 0.500 0.000
U1 0.362 0.112 0.250
Al2 0.861 0.111 0.750
Al3 0.723 0.698 0.025
Al4 0.000 0.500 0.500
U2 0.638 0.888 0.750
Al5 0.174 0.698 0.475
Al6 0.139 0.889 0.250
Al7 0.826 0.302 0.525
Al8 0.277 0.302 0.975



The following is a PBE calculation of a geometry-optimized UAl3 structure, from Alexandria.

Results
As for the volume: 77.25 Å³/f.u. The final energy is -5.755 eV/atom. The space group is Pm-3m, No. 221. The energy relative to the elements is -0.126 eV per atom.

abc: 4.259 4.259 4.259
angles: 90.00 90.00 90.00
Fractional positions:
Al1 0.500 0.500 0.000
U1 0.000 0.000 0.000
Al2 0.500 0.000 0.500
Al3 0.000 0.500 0.500



The following is a PBE calculation of a geometry-optimized UAlV2 structure, from Alexandria.

Results
As for the volume: 62.66 Å³/f.u. The final energy is -8.327 eV/atom. The space group is Fm-3m, No. 225. The energy relative to the elements is -0.010 eV per atom.

abc: 4.458 4.458 4.458
angles: 60.00 60.00 60.00
Fractional positions:
V1 0.250 0.250 0.250
Al1 0.000 0.000 0.000
U1 0.500 0.500 0.500
V2 0.750 0.750 0.750



The following is a PBE calculation of a geometry-optimized UAlV structure, from Alexandria.

Results
As for the volume: 50.24 Å³/f.u. The final energy is -8.035 eV/atom. The space group is I4mm, No. 107. The energy relative to the elements is 0.015 eV per atom.

abc: 2.691 2.691 7.196
angles: 100.78 100.78 90.00
Fractional positions:
U1 0.332 0.332 0.665
Al1 0.013 0.013 0.026
V1 0.655 0.655 0.310



The following is a PBE calculation of a geometry-optimized UAlV structure, from Alexandria.

Results
As for the volume: 51.59 Å³/f.u. The final energy is -7.931 eV/atom. The space group is P3m1, No. 156. The energy relative to the elements is 0.118 eV per atom.

abc: 2.834 2.834 7.415
angles: 90.00 90.00 120.00
Fractional positions:
U1 0.333 0.667 0.660
Al1 0.000 0.000 0.023
V1 0.667 0.333 0.317